No. 1
Here is Tl3CO after structural relaxation from the Alexandria database. Energies are from PBE.

CIF file:
```
data_Tl3CO
_chemical_formula_sum 'Tl3 C1 O1'
_cell_length_a 4.870
_cell_length_b 4.870
_cell_length_c 4.870
_cell_angle_alpha 90.00
_cell_angle_beta 90.00
_cell_angle_gamma 90.00
_space_group_name_H-M_alt 'P m -3 m'
_space_group_IT_number 221
_space_group_name_Hall '-P 4 2 3'
loop_
_atom_site_label
_atom_site_fract_x
_atom_site_fract_y
_atom_site_fract_z
_atom_site_occupancy
Tl1 0.000 0.000 0.500 1
C1 0.000 0.000 0.000 1
O1 0.500 0.500 0.500 1
```

crystal system	cubic
M_tot	0.0	μB/f.u.



No. 2
Here is MnAl2Ag after structural relaxation from the Alexandria database. Energies are from PBE.

CIF file:
```
data_MnAl2Ag
_chemical_formula_sum 'Mn2 Al4 Ag2'
_cell_length_a 2.950
_cell_length_b 4.823
_cell_length_c 8.822
_cell_angle_alpha 90.00
_cell_angle_beta 90.00
_cell_angle_gamma 90.00
_space_group_name_H-M_alt 'I m m m'
_space_group_IT_number 71
_space_group_name_Hall '-I 2 2'
loop_
_atom_site_label
_atom_site_fract_x
_atom_site_fract_y
_atom_site_fract_z
_atom_site_occupancy
Mn1 0.000 0.000 0.000 1
Al1 0.000 0.500 0.259 1
Ag1 0.000 0.000 0.500 1
```

crystal system	orthorhombic
M_tot	2.9	μB/f.u.
DFT formation energy	55	meV per atom



Across the entries above, E above lowest polymorph takes the values 0.000 0.215 eV/atom, respectively.
Across the entries above, density takes the values 9.22 5.73 g cm⁻³, respectively.